# Ba2CaSc

An optimized crystal structure of Ba2CaSc (PBE, Alexandria via LeMat-Bulk).

For the size of the total moment, the calculation gives 0.001 μB/cell. Its total energy is -11.05 eV for the cell shown. The value obtained for the density of states at the Fermi level is 6.6 states/eV per cell. As for the formation energy: 0.282 eV per atom. As for the symmetry: No. 123.

```
4
Lattice="6.3345 0.0000 0.0000 0.0000 6.3345 0.0000 0.0000 0.0000 4.4695" Properties=species:S:1:pos:R:3 pbc="T T T"
Ba 0.0000 3.1673 0.0000
Ba 3.1673 0.0000 0.0000
Ca 0.0000 0.0000 2.2348
Sc 3.1673 3.1673 2.2348
```

***

# Ba2CaSc

An optimized crystal structure of Ba2CaSc (PBE, Alexandria via LeMat-Bulk).

For the size of the total moment, the calculation gives 0.969 μB/cell. Its total energy is -11.07 eV for the cell shown. The value obtained for the density of states at the Fermi level is 5.8 states/eV per cell. As for the formation energy: 0.276 eV per atom. As for the symmetry: No. 166.

```
4
Lattice="1.9818 1.1442 12.8927 -1.9818 1.1442 12.8927 0.0000 -2.2884 12.8927" Properties=species:S:1:pos:R:3 pbc="T T T"
Ba 0.0000 0.0000 9.3910
Ba 0.0000 0.0000 29.2871
Ca 0.0000 0.0000 0.0000
Sc 0.0000 0.0000 19.3391
```

***

# Ba2CaSc

An optimized crystal structure of Ba2CaSc (PBE, Alexandria via LeMat-Bulk).

For the size of the total moment, the calculation gives 0.002 μB/cell. Its total energy is -11.09 eV for the cell shown. The value obtained for the density of states at the Fermi level is 7.1 states/eV per cell. As for the formation energy: 0.273 eV per atom. As for the symmetry: No. 216.

```
4
Lattice="0.0000 4.4379 4.4379 4.4379 0.0000 4.4379 4.4379 4.4379 0.0000" Properties=species:S:1:pos:R:3 pbc="T T T"
Ba 0.0000 0.0000 0.0000
Ba 2.2190 2.2190 2.2190
Ca 4.4379 4.4379 4.4379
Sc 6.6569 6.6569 6.6569
```

***

# Ba2CaSc

An optimized crystal structure of Ba2CaSc (PBE, Alexandria via LeMat-Bulk).

For the size of the total moment, the calculation gives 0.032 μB/cell. Its total energy is -11.01 eV for the cell shown. The value obtained for the density of states at the Fermi level is 5.1 states/eV per cell. As for the formation energy: 0.293 eV per atom. As for the symmetry: No. 10.

```
4
Lattice="3.8347 0.0000 0.0000 0.0000 6.1213 0.0000 -1.7961 0.0000 7.4696" Properties=species:S:1:pos:R:3 pbc="T T T"
Ba 0.3952 0.0000 1.9602
Ba 1.6434 0.0000 5.5094
Ca 1.9173 3.0606 0.0000
Sc -0.8980 3.0606 3.7348
```

***

size of the total moment of number 4 (Ba2CaSc)? 0.032 μB/cell

***

Which formula does entry 4 have? Ba2CaSc

***

Repeat the fourth record exactly.
# Ba2CaSc

An optimized crystal structure of Ba2CaSc (PBE, Alexandria via LeMat-Bulk).

For the size of the total moment, the calculation gives 0.032 μB/cell. Its total energy is -11.01 eV for the cell shown. The value obtained for the density of states at the Fermi level is 5.1 states/eV per cell. As for the formation energy: 0.293 eV per atom. As for the symmetry: No. 10.

```
4
Lattice="3.8347 0.0000 0.0000 0.0000 6.1213 0.0000 -1.7961 0.0000 7.4696" Properties=species:S:1:pos:R:3 pbc="T T T"
Ba 0.3952 0.0000 1.9602
Ba 1.6434 0.0000 5.5094
Ca 1.9173 3.0606 0.0000
Sc -0.8980 3.0606 3.7348
```